LiPtRh2: relaxed, PBE-GGA.

Cell: 2.738 2.738 7.569 Å, 90.00 90.00 90.00°
Positions (direct):
Li 0.000 0.000 0.000
Pt 0.000 0.000 0.500
Rh 0.500 0.500 0.243
Rh 0.500 0.500 0.757

Summary:
**M_tot**: 0.0 Bohr magnetons per cell
**Energy of formation**: -9.8 meV per atom
**ΔE to the lowest computed polymorph**: 0.250 eV per atom

---

K2Na12Au7: relaxed, PBE-GGA.

Cell: 12.148 12.148 4.613 Å, 90.00 90.00 120.00°
Positions (direct):
K 0.000 0.000 0.000
K 0.333 0.667 0.500
Na 0.050 0.288 0.500
Na 0.105 0.719 0.000
Na 0.238 0.950 0.500
Na 0.281 0.386 0.000
Na 0.389 0.177 0.000
Na 0.540 0.424 0.500
Na 0.576 0.116 0.500
Na 0.614 0.895 0.000
Na 0.712 0.762 0.500
Na 0.788 0.611 0.000
Na 0.823 0.212 0.000
Na 0.884 0.460 0.500
Au 0.070 0.460 0.000
Au 0.248 0.208 0.500
Au 0.389 0.930 0.000
Au 0.540 0.611 0.000
Au 0.667 0.333 0.000
Au 0.792 0.041 0.500
Au 0.959 0.752 0.500

Summary:
**M_tot**: 0.0 Bohr magnetons per cell
**Energy of formation**: -232.7 meV per atom

---

HgRh: relaxed, PBE-GGA.

Cell: 3.840 3.840 3.840 Å, 60.00 60.00 60.00°
Positions (direct):
Hg 0.000 0.000 0.000
Rh 0.500 0.500 0.500

Summary:
**M_tot**: 0.0 Bohr magnetons per cell
**Energy of formation**: 569.5 meV per atom

---

CrSb2OsI: relaxed, PBE-GGA.

Cell: 5.045 5.045 5.892 Å, 90.00 90.00 90.00°
Positions (direct):
Cr 0.000 0.000 0.000
Sb 0.000 0.500 0.500
Sb 0.500 0.000 0.500
Os 0.500 0.500 0.500
I 0.500 0.500 0.000

Summary:
**M_tot**: 4.9 Bohr magnetons per cell
**Energy relative to the elements, uncorrected**: 0.946 eV/atom
**ΔE to the lowest computed polymorph**: 0.000 eV per atom

---

PSe: relaxed, PBE-GGA.

Cell: 4.349 3.668 6.540 Å, 90.00 93.03 90.00°
Positions (direct):
P 0.176 0.250 0.045
P 0.824 0.750 0.955
Se 0.423 0.250 0.758
Se 0.577 0.750 0.242

Summary:
**M_tot**: 0.0 Bohr magnetons per cell
**Energy relative to the elements, uncorrected**: 0.135 eV/atom
**ΔE to the lowest computed polymorph**: 0.215 eV per atom

---

SrIrRh2: relaxed, PBE-GGA.

Cell: 9.651 9.651 9.651 Å, 17.29 17.29 17.29°
Positions (direct):
Sr 0.000 0.000 0.000
Ir 0.500 0.500 0.500
Rh 0.241 0.241 0.241
Rh 0.759 0.759 0.759

Summary:
**M_tot**: 0.0 Bohr magnetons per cell
**Energy of formation**: 564.9 meV per atom
**ΔE to the lowest computed polymorph**: 0.700 eV per atom

---

Ce4Cd5Rh2: relaxed, PBE-GGA.

Cell: 7.841 3.637 9.728 Å, 90.00 94.28 90.00°
Positions (direct):
Ce 0.169 0.000 0.350
Ce 0.220 0.000 0.946
Ce 0.780 0.000 0.054
Ce 0.831 0.000 0.650
Cd 0.188 0.500 0.650
Cd 0.458 0.500 0.180
Cd 0.500 0.500 0.500
Cd 0.542 0.500 0.820
Cd 0.812 0.500 0.350
Rh 0.078 0.500 0.145
Rh 0.922 0.500 0.855

Summary:
**M_tot**: 3.2 Bohr magnetons per cell
**Energy of formation**: -391.1 meV per atom

---

LiVBi: relaxed, PBE-GGA.

Cell: 3.985 3.985 7.268 Å, 90.00 90.00 90.00°
Positions (direct):
Li 0.250 0.250 0.184
Li 0.750 0.750 0.816
V 0.250 0.750 0.500
V 0.750 0.250 0.500
Bi 0.250 0.250 0.777
Bi 0.750 0.750 0.223

Summary:
**M_tot**: 0.0 Bohr magnetons per cell
**Energy of formation**: -63.6 meV per atom
**ΔE to the lowest computed polymorph**: 0.000 eV per atom

---

La2PrDy2Ho: relaxed, PBE-GGA.

Cell: 7.146 5.753 9.942 Å, 90.00 90.00 90.00°
Positions (direct):
La 0.000 0.000 0.000
La 0.250 0.500 0.177
La 0.500 0.000 0.000
La 0.750 0.500 0.823
Pr 0.250 0.000 0.659
Pr 0.750 0.000 0.341
Dy 0.250 0.000 0.333
Dy 0.250 0.500 0.834
Dy 0.750 0.000 0.667
Dy 0.750 0.500 0.166
Ho 0.000 0.500 0.500
Ho 0.500 0.500 0.500

Summary:
**M_tot**: 0.0 Bohr magnetons per cell
**Energy of formation**: 63.6 meV per atom

---

La2Ir3Rh: relaxed, PBE-GGA.

Cell: 5.482 5.482 5.482 Å, 59.66 59.66 59.66°
Positions (direct):
La 0.124 0.124 0.124
La 0.876 0.876 0.876
Ir 0.000 0.500 0.500
Ir 0.500 0.000 0.500
Ir 0.500 0.500 0.000
Rh 0.500 0.500 0.500

Summary:
**M_tot**: 0.0 Bohr magnetons per cell
**Energy of formation**: -719.6 meV per atom

---

K2TmTlO4: relaxed, PBE-GGA.

Cell: 5.977 3.452 6.585 Å, 90.00 108.12 90.00°
Positions (direct):
K 0.000 0.000 0.000
K 0.500 0.500 0.000
Tm 0.000 0.500 0.500
Tl 0.500 0.000 0.500
O 0.216 0.000 0.691
O 0.261 0.500 0.307
O 0.739 0.500 0.693
O 0.784 0.000 0.309

Summary:
**M_tot**: 0.0 Bohr magnetons per cell
**Energy relative to the elements, uncorrected**: -1.911 eV/atom

---

Nd7Sn2Te2: relaxed, PBE-GGA.

Cell: 7.265 7.265 7.286 Å, 90.00 90.00 104.03°
Positions (direct):
Nd 0.000 0.000 0.000
Nd 0.000 0.500 0.280
Nd 0.000 0.500 0.720
Nd 0.500 0.000 0.280
Nd 0.500 0.000 0.720
Nd 0.500 0.500 0.261
Nd 0.500 0.500 0.739
Sn 0.177 0.177 0.500
Sn 0.823 0.823 0.500
Te 0.277 0.723 0.000
Te 0.723 0.277 0.000

Summary:
**M_tot**: 0.0 Bohr magnetons per cell
**Energy relative to the elements, uncorrected**: -0.545 eV/atom

---

Question: What is the M_tot in the fifth record?
Answer: 0.0 Bohr magnetons per cell